Record 1
Material: K2SnPd2
Method: DFT, PBE
State: optimized geometry

The energy relative to the elements is -0.19 eV per atom. Its polymorph energy (0 for the lowest one) is 147 meV per atom. The calculation puts the density of states at the Fermi level at 4.7 states/eV per cell.

Unit cell a=6.918 b=6.918 c=5.584 alpha=90.00 beta=90.00 gamma=90.00
Space group P4/mbm (No. 127)
One atom of each set of equivalent atoms:
K1 0.175 0.325 0.000 (multiplicity 4)
Sn1 0.000 0.000 0.500 (multiplicity 2)
Pd1 0.139 0.639 0.500 (multiplicity 4)


Record 2
Material: Ac2GaSe
Method: DFT, PBE
State: optimized geometry

Its polymorph energy (0 for the lowest one) is 70 meV per atom. The formation energy from raw total energies is -25.7 kcal/mol of atoms. The calculation puts the density of states at the Fermi level at 7.3 states/eV per cell.

Unit cell a=4.4294 b=4.4294 c=23.8381 alpha=90.00 beta=90.00 gamma=120.00
Space group R-3m (No. 166, hexagonal axes)
One atom of each set of equivalent atoms:
Ac1 0.0000 0.0000 0.2485 (multiplicity 6)
Ga1 0.0000 0.0000 0.0000 (multiplicity 3)
Se1 0.0000 0.0000 0.5000 (multiplicity 3)


Record 3
Material: Ce3Tl2Ag
Method: DFT, PBE
State: optimized geometry

The energy relative to the elements is -0.14 eV per atom. The calculation puts the density of states at the Fermi level at 21.0 states/eV per cell.

Unit cell a=4.070 b=4.070 c=10.109 alpha=90.00 beta=90.00 gamma=90.00
Space group P4/mmm (No. 123)
One atom of each set of equivalent atoms:
Ce1 0.000 0.000 0.000 (multiplicity 1)
Ce2 0.000 0.000 0.341 (multiplicity 2)
Tl1 0.500 0.500 0.172 (multiplicity 2)
Ag1 0.500 0.500 0.500 (multiplicity 1)


Record 4
Material: HoNpCuS4
Method: DFT, PBE
State: optimized geometry

The formation energy from raw total energies is -29.7 kcal/mol of atoms. The calculation puts the density of states at the Fermi level at 36.1 states/eV per cell.

Unit cell a=7.663 b=7.778 c=10.873 alpha=90.00 beta=90.00 gamma=90.00
Space group Imma (No. 74)
One atom of each set of equivalent atoms:
Ho1 0.250 0.250 0.250 (multiplicity 4)
Np1 0.000 0.000 0.000 (multiplicity 4)
Cu1 0.000 0.250 0.629 (multiplicity 4)
S1 0.000 0.001 0.246 (multiplicity 8)
S2 0.246 0.250 0.999 (multiplicity 8)


Record 5
Material: Nd3GeI3
Method: DFT, PBE
State: optimized geometry

Its polymorph energy (0 for the lowest one) is 461 meV per atom. The formation energy from raw total energies is -17.2 kcal/mol of atoms. The calculation puts the density of states at the Fermi level at 14.9 states/eV per cell.

Unit cell a=9.371 b=12.146 c=9.956 alpha=90.00 beta=115.43 gamma=90.00
Space group C2/m (No. 12)
One atom of each set of equivalent atoms:
Nd1 0.168 0.000 0.331 (multiplicity 4)
Nd2 0.169 0.316 0.296 (multiplicity 8)
Ge1 0.120 0.000 0.620 (multiplicity 4)
I1 0.000 0.168 0.000 (multiplicity 4)
I2 0.000 0.333 0.500 (multiplicity 4)
I3 0.104 0.500 0.871 (multiplicity 4)


Record 6
Material: SrAuBr2
Method: DFT, PBE
State: optimized geometry

Its polymorph energy (0 for the lowest one) is 115 meV per atom. The formation energy from raw total energies is -22.7 kcal/mol of atoms. The calculation puts the density of states at the Fermi level at 5.2 states/eV per cell.

Unit cell a=9.856 b=4.531 c=5.808 alpha=90.00 beta=104.37 gamma=90.00
Space group C2/m (No. 12)
One atom of each set of equivalent atoms:
Sr1 0.000 0.000 0.000 (multiplicity 2)
Au1 0.000 0.500 0.500 (multiplicity 2)
Br1 0.201 0.500 0.232 (multiplicity 4)


Record 7
Material: HfB6
Method: DFT, PBE
State: optimized geometry

The energy relative to the elements is 0.10 eV per atom. Its polymorph energy (0 for the lowest one) is 0 meV per atom. The calculation puts the density of states at the Fermi level at 1.8 states/eV per cell.

Unit cell a=4.038 b=4.038 c=4.038 alpha=90.00 beta=90.00 gamma=90.00
Space group Pm-3m (No. 221)
One atom of each set of equivalent atoms:
Hf1 0.000 0.000 0.000 (multiplicity 1)
B1 0.197 0.500 0.500 (multiplicity 6)


Record 8
Material: Tb2Tm3Cd3
Method: DFT, PBE
State: optimized geometry

The energy relative to the elements is -0.23 eV per atom. Its polymorph energy (0 for the lowest one) is 0 meV per atom. The calculation puts the density of states at the Fermi level at 15.3 states/eV per cell.

Unit cell a=3.715 b=5.271 c=22.054 alpha=90.00 beta=90.00 gamma=90.00
Space group Immm (No. 71)
One atom of each set of equivalent atoms:
Tb1 0.000 0.000 0.233 (multiplicity 4)
Tm1 0.000 0.000 0.000 (multiplicity 2)
Tm2 0.000 0.500 0.123 (multiplicity 4)
Cd1 0.000 0.000 0.500 (multiplicity 2)
Cd2 0.000 0.500 0.385 (multiplicity 4)


Record 9
Material: La8Co3Br4Cl
Method: DFT, PBE
State: optimized geometry

The formation energy from raw total energies is -22.2 kcal/mol of atoms. The calculation puts the density of states at the Fermi level at 22.9 states/eV per cell.

Unit cell a=14.392 b=8.217 c=9.120 alpha=90.00 beta=121.41 gamma=90.00
Space group C2/m (No. 12)
One atom of each set of equivalent atoms:
La1 0.019 0.235 0.297 (multiplicity 8)
La2 0.232 0.000 0.689 (multiplicity 4)
La3 0.243 0.500 0.699 (multiplicity 4)
Co1 0.000 0.000 0.500 (multiplicity 2)
Co2 0.250 0.250 0.500 (multiplicity 4)
Br1 0.000 0.000 0.000 (multiplicity 2)
Br2 0.000 0.500 0.000 (multiplicity 2)
Br3 0.250 0.250 0.000 (multiplicity 4)
Cl1 0.000 0.500 0.500 (multiplicity 2)


Record 10
Material: Pm2Sm3Er4
Method: DFT, PBE
State: optimized geometry

The energy relative to the elements is 0.10 eV per atom. Its polymorph energy (0 for the lowest one) is 79 meV per atom. The calculation puts the density of states at the Fermi level at 50.5 states/eV per cell.

Unit cell a=16.586 b=11.628 c=6.081 alpha=90.00 beta=96.84 gamma=90.00
Space group C2/c (No. 15)
One atom of each set of equivalent atoms:
Pm1 0.107 0.117 0.280 (multiplicity 8)
Sm1 0.000 0.147 0.750 (multiplicity 4)
Sm2 0.164 0.349 0.587 (multiplicity 8)
Er1 0.061 0.390 0.043 (multiplicity 8)
Er2 0.233 0.111 0.871 (multiplicity 8)


Record 11
Material: SrP2Pt8
Method: DFT, PBE
State: optimized geometry

The energy relative to the elements is -0.20 eV per atom. The calculation puts the density of states at the Fermi level at 7.2 states/eV per cell.

Unit cell a=5.417 b=5.417 c=16.261 alpha=90.00 beta=90.00 gamma=90.00
Space group I4/mmm (No. 139)
One atom of each set of equivalent atoms:
Sr1 0.000 0.000 0.000 (multiplicity 2)
P1 0.000 0.500 0.250 (multiplicity 4)
Pt1 0.248 0.248 0.342 (multiplicity 16)


Record 12
Material: Ta2SeO2
Method: DFT, PBE
State: optimized geometry

The formation energy from raw total energies is -31.7 kcal/mol of atoms. The calculation puts the density of states at the Fermi level at 7.4 states/eV per cell.

Unit cell a=3.648 b=3.648 c=10.160 alpha=90.00 beta=90.00 gamma=90.00
Space group I4/mmm (No. 139)
One atom of each set of equivalent atoms:
Ta1 0.000 0.000 0.138 (multiplicity 4)
Se1 0.000 0.000 0.500 (multiplicity 2)
O1 0.000 0.500 0.250 (multiplicity 4)